# NiIrN2F

A relaxed NiIrN2F crystal (GGA+U, Alexandria).

Properties
**E_tot**: -5.35 eV/atom
**Fermi-level density of states**: 1.004 states/eV/atom

Lattice parameters (Å, degrees): 3.6693 3.6693 6.3732 90.00 90.00 90.00
Space group P4/mmm (No. 123)
Unique sites:
Ni  0.0000  0.0000  0.0000 (multiplicity 1)
Ir  0.5000  0.5000  0.5000 (multiplicity 1)
N  0.0000  0.5000  0.5000 (multiplicity 2)
F  0.5000  0.5000  0.0000 (multiplicity 1)

---

# NiIrN2F

A relaxed NiIrN2F crystal (GGA+U, Alexandria).

Properties
**E_tot**: -4.63 eV/atom
**Fermi-level density of states**: 1.027 states/eV/atom

Lattice parameters (Å, degrees): 3.8312 3.8312 3.5704 90.00 90.00 90.00
Space group P4/mmm (No. 123)
Unique sites:
Ni  0.0000  0.0000  0.0000 (multiplicity 1)
Ir  0.5000  0.5000  0.5000 (multiplicity 1)
N  0.0000  0.5000  0.0000 (multiplicity 2)
F  0.0000  0.0000  0.5000 (multiplicity 1)